No. 1
PmMg6In6: optimized geometry, PBE.

```
PmMg6In6
1.0
-3.0247 4.9070 5.3154
3.0247 -4.9070 5.3154
3.0247 4.9070 -5.3154
Pm Mg In
1 6 6
Cartesian
0.0000 0.0000 0.0000
1.5124 2.4535 -2.6577
1.5124 -2.4535 2.6577
3.0247 2.4114 0.0000
-1.5124 2.4535 2.6577
1.5124 2.4535 2.6577
0.0000 2.4956 5.3154
3.0247 0.0000 1.7525
0.0000 0.0000 3.5806
0.0000 3.4130 0.0000
0.0000 6.4011 0.0000
0.0000 0.0000 7.0503
0.0000 4.9070 3.5629
```

Total moment ... 0.00 Bohr magnetons per cell
Formation enthalpy at 0 K ... -0.16 eV per atom
ρ ... 5155 kg/m3
Calculated total energy ... -32.79 eV/f.u.

No. 2
Pm9MgIn2: optimized geometry, PBE.

```
Pm9MgIn2
1.0
4.9770 0.0000 0.0000
0.0000 4.9770 0.0000
0.0000 0.0000 14.8889
Pm Mg In
9 1 2
Cartesian
0.0000 0.0000 0.0000
0.0000 0.0000 4.9432
0.0000 0.0000 9.9457
0.0000 2.4885 2.5099
0.0000 2.4885 7.4444
0.0000 2.4885 12.3789
2.4885 0.0000 2.5099
2.4885 0.0000 7.4444
2.4885 0.0000 12.3789
2.4885 2.4885 0.0000
2.4885 2.4885 4.9860
2.4885 2.4885 9.9028
```

Total moment ... 0.38 Bohr magnetons per cell
Formation enthalpy at 0 K ... -0.18 eV per atom
ρ ... 7019 kg/m3
Calculated total energy ... -51.98 eV/f.u.

No. 3
Pm2Mg3In4: optimized geometry, PBE.

```
Pm2Mg3In4
1.0
3.1961 -8.5370 0.0000
3.1961 8.5370 0.0000
0.0000 0.0000 8.4407
Pm Mg In
4 6 8
Cartesian
3.1961 6.7921 7.6027
3.1961 1.7449 3.3823
3.1961 -1.7449 5.0584
3.1961 -6.7921 0.8380
0.0000 0.0000 4.2204
1.5981 3.9876 6.3305
1.5981 -3.9876 2.1102
3.1961 0.0000 0.0000
4.7942 3.9876 6.3305
4.7942 -3.9876 2.1102
3.1961 5.6084 4.4197
1.5981 1.0473 6.3305
1.5981 -1.0473 2.1102
3.1961 2.9285 0.1993
3.1961 -2.9285 8.2414
4.7942 1.0473 6.3305
4.7942 -1.0473 2.1102
3.1961 -5.6084 4.0210
```

Total moment ... 0.00 Bohr magnetons per cell
Formation enthalpy at 0 K ... -0.31 eV per atom
ρ ... 5928 kg/m3
Calculated total energy ... -27.99 eV/f.u.

No. 4
Pm3MgIn3: optimized geometry, PBE.

```
Pm3MgIn3
1.0
5.3008 -5.3521 0.0000
5.3008 5.3521 0.0000
0.0000 0.0000 7.2927
Pm Mg In
6 2 6
Cartesian
0.0000 0.0000 1.7874
0.0000 0.0000 5.5053
2.6504 2.6761 1.8126
2.6504 2.6761 5.4801
2.6504 -2.6761 1.8126
2.6504 -2.6761 5.4801
3.5491 0.0000 3.6463
7.0525 0.0000 3.6463
5.3008 2.5123 3.6463
2.9539 0.0000 0.0000
5.3008 2.0719 0.0000
5.3008 -2.0719 0.0000
7.6476 0.0000 0.0000
5.3008 -2.5123 3.6463
```

Total moment ... 1.07 Bohr magnetons per cell
Formation enthalpy at 0 K ... -0.30 eV per atom
ρ ... 6451 kg/m3
Calculated total energy ... -26.14 eV/f.u.

No. 5
PmMg15In4: optimized geometry, PBE.

```
PmMg15In4
1.0
4.7073 0.0000 0.0000
0.0000 4.7073 0.0000
0.0000 0.0000 21.1882
Pm Mg In
1 15 4
Cartesian
0.0000 0.0000 0.0000
0.0000 2.3536 2.2691
0.0000 2.3536 6.3954
0.0000 2.3536 10.5941
0.0000 2.3536 14.7927
0.0000 2.3536 18.9191
2.3536 0.0000 2.2691
2.3536 0.0000 6.3954
2.3536 0.0000 10.5941
2.3536 0.0000 14.7927
2.3536 0.0000 18.9191
2.3536 2.3536 0.0000
2.3536 2.3536 4.3748
2.3536 2.3536 8.4721
2.3536 2.3536 12.7161
2.3536 2.3536 16.8133
0.0000 0.0000 4.2730
0.0000 0.0000 8.5148
0.0000 0.0000 12.6733
0.0000 0.0000 16.9151
```

Total moment ... 0.00 Bohr magnetons per cell
Formation enthalpy at 0 K ... -0.07 eV per atom
ρ ... 3427 kg/m3
Calculated total energy ... -41.04 eV/f.u.

No. 6
Pm6Mg2In: optimized geometry, PBE.

```
Pm6Mg2In
1.0
3.5932 2.0745 7.3762
-3.5932 2.0745 7.3762
0.0000 -4.1491 7.3762
Pm Mg In
6 2 1
Cartesian
-1.7693 -1.0215 7.3762
-1.8026 -1.0407 11.9598
1.7693 -1.0215 7.3762
0.0000 2.0430 7.3762
1.8026 -1.0407 11.9598
0.0000 2.0815 11.9598
0.0000 0.0000 4.6387
0.0000 0.0000 22.0312
0.0000 0.0000 17.0260
```

Total moment ... 0.21 Bohr magnetons per cell
Formation enthalpy at 0 K ... 0.20 eV per atom
ρ ... 5202 kg/m3
Calculated total energy ... -32.62 eV/f.u.